(1)
First-principles (PBE) data for crystalline CdC3 at its relaxed geometry, as listed in Alexandria via LeMat-Bulk.

Results
Relative energy among the computed polymorphs (meV/atom): 1408
Formation energy (eV/atom): 2.02
Magnetic moment (μB/f.u.): 0.00

a = 4.815 Å, b = 4.815 Å, c = 6.997 Å
α = 90.00°, β = 90.00°, γ = 120.00°
Sites, in units of the cell vectors:
C: 0.101 0.202 0.750
Cd: 0.333 0.667 0.250
C: 0.202 0.101 0.250
C: 0.899 0.101 0.250
C: 0.101 0.899 0.750
C: 0.798 0.899 0.750
C: 0.899 0.798 0.250
Cd: 0.667 0.333 0.750

(2)
First-principles (PBE) data for crystalline Cd5C at its relaxed geometry, as listed in Alexandria via LeMat-Bulk.

Results
Relative energy among the computed polymorphs (meV/atom): 544
Formation energy (eV/atom): 1.13
Magnetic moment (μB/f.u.): 0.23

a = 5.505 Å, b = 5.505 Å, c = 5.323 Å
α = 90.00°, β = 90.00°, γ = 120.00°
Sites, in units of the cell vectors:
Cd: 0.500 0.000 0.500
Cd: 0.500 0.500 0.500
Cd: 0.333 0.667 0.000
Cd: 0.667 0.333 0.000
C: 0.000 0.000 0.000
Cd: 0.000 0.500 0.500

(3)
First-principles (PBE) data for crystalline CdC2 at its relaxed geometry, as listed in Alexandria via LeMat-Bulk.

Results
Relative energy among the computed polymorphs (meV/atom): 822
Formation energy (eV/atom): 1.22
Magnetic moment (μB/f.u.): 0.00

a = 3.717 Å, b = 3.717 Å, c = 12.625 Å
α = 90.00°, β = 90.00°, γ = 120.00°
Sites, in units of the cell vectors:
C: 0.667 0.333 0.405
C: 0.667 0.333 0.306
Cd: 0.667 0.333 0.140
C: 0.000 0.000 0.950
Cd: 0.333 0.667 0.860
Cd: 0.000 0.000 0.500
C: 0.333 0.667 0.595
C: 0.333 0.667 0.694
C: 0.000 0.000 0.050

(4)
First-principles (PBE) data for crystalline CdC at its relaxed geometry, as listed in Alexandria via LeMat-Bulk.

Results
Relative energy among the computed polymorphs (meV/atom): 609
Formation energy (eV/atom): 1.03
Magnetic moment (μB/f.u.): 0.00

a = 6.155 Å, b = 6.155 Å, c = 3.768 Å
α = 90.00°, β = 90.00°, γ = 90.00°
Sites, in units of the cell vectors:
C: 0.922 0.922 0.500
Cd: 0.778 0.778 0.000
Cd: 0.722 0.278 0.500
Cd: 0.222 0.222 0.000
C: 0.422 0.578 0.000
Cd: 0.278 0.722 0.500
C: 0.078 0.078 0.500
C: 0.578 0.422 0.000

(5)
First-principles (PBE) data for crystalline CdC3 at its relaxed geometry, as listed in Alexandria via LeMat-Bulk.

Results
Relative energy among the computed polymorphs (meV/atom): 1721
Formation energy (eV/atom): 2.33
Magnetic moment (μB/f.u.): 0.00

a = 3.705 Å, b = 3.705 Å, c = 4.640 Å
α = 90.00°, β = 90.00°, γ = 120.00°
Sites, in units of the cell vectors:
C: 0.000 0.000 0.394
C: 0.000 0.000 0.106
Cd: 0.667 0.333 0.750
C: 0.667 0.333 0.250

(6)
First-principles (PBE) data for crystalline Cd4C at its relaxed geometry, as listed in Alexandria via LeMat-Bulk.

Results
Relative energy among the computed polymorphs (meV/atom): 74
Formation energy (eV/atom): 0.80
Magnetic moment (μB/f.u.): 0.00

a = 3.513 Å, b = 3.513 Å, c = 10.679 Å
α = 90.00°, β = 90.00°, γ = 120.00°
Sites, in units of the cell vectors:
C: 0.000 0.000 0.000
Cd: 0.667 0.333 0.386
Cd: 0.333 0.667 0.884
Cd: 0.667 0.333 0.116
Cd: 0.333 0.667 0.614

(7)
First-principles (PBE) data for crystalline CdC2 at its relaxed geometry, as listed in Alexandria via LeMat-Bulk.

Results
Relative energy among the computed polymorphs (meV/atom): 3114
Formation energy (eV/atom): 3.51
Magnetic moment (μB/f.u.): 0.20

a = 3.324 Å, b = 3.324 Å, c = 4.401 Å
α = 90.00°, β = 90.00°, γ = 90.00°
Sites, in units of the cell vectors:
Cd: 0.000 0.000 0.000
C: 0.000 0.000 0.500
C: 0.500 0.500 0.000

(8)
First-principles (PBE) data for crystalline Cd3C at its relaxed geometry, as listed in Alexandria via LeMat-Bulk.

Results
Relative energy among the computed polymorphs (meV/atom): 572
Formation energy (eV/atom): 1.00
Magnetic moment (μB/f.u.): 0.00

a = 4.643 Å, b = 4.643 Å, c = 4.643 Å
α = 90.00°, β = 90.00°, γ = 90.00°
Sites, in units of the cell vectors:
Cd: 0.000 0.000 0.500
Cd: 0.500 0.000 0.000
C: 0.000 0.000 0.000
Cd: 0.000 0.500 0.000

(9)
First-principles (PBE) data for crystalline CdC at its relaxed geometry, as listed in Alexandria via LeMat-Bulk.

Results
Relative energy among the computed polymorphs (meV/atom): 1754
Formation energy (eV/atom): 2.17
Magnetic moment (μB/f.u.): 0.00

a = 3.296 Å, b = 3.296 Å, c = 2.915 Å
α = 90.00°, β = 90.00°, γ = 90.00°
Sites, in units of the cell vectors:
Cd: 0.500 0.500 0.000
C: 0.000 0.000 0.000

(10)
First-principles (PBE) data for crystalline CdC at its relaxed geometry, as listed in Alexandria via LeMat-Bulk.

Results
Relative energy among the computed polymorphs (meV/atom): 1727
Formation energy (eV/atom): 2.14
Magnetic moment (μB/f.u.): 0.00

a = 4.278 Å, b = 4.278 Å, c = 3.196 Å
α = 90.00°, β = 90.00°, γ = 90.00°
Sites, in units of the cell vectors:
C: 0.750 0.250 0.000
Cd: 0.750 0.750 0.655
C: 0.250 0.750 0.000
Cd: 0.250 0.250 0.345

(11)
First-principles (PBE) data for crystalline CdC2 at its relaxed geometry, as listed in Alexandria via LeMat-Bulk.

Results
Relative energy among the computed polymorphs (meV/atom): 1304
Formation energy (eV/atom): 1.70
Magnetic moment (μB/f.u.): 0.26

a = 4.797 Å, b = 4.797 Å, c = 4.797 Å
α = 114.77°, β = 114.77°, γ = 99.33°
Sites, in units of the cell vectors:
C: 0.913 0.413 0.326
C: 0.587 0.913 0.500
C: 0.087 0.587 0.674
Cd: 0.750 0.750 0.000
Cd: 0.250 0.250 0.000
C: 0.413 0.087 0.500

(12)
First-principles (PBE) data for crystalline CdC5 at its relaxed geometry, as listed in Alexandria via LeMat-Bulk.

Results
Relative energy among the computed polymorphs (meV/atom): 0
Formation energy (eV/atom): 0.98
Magnetic moment (μB/f.u.): 0.00

a = 5.976 Å, b = 5.976 Å, c = 5.707 Å
α = 85.50°, β = 85.50°, γ = 24.12°
Sites, in units of the cell vectors:
C: 0.467 0.467 0.516
C: 0.584 0.584 0.414
Cd: 0.326 0.326 0.233
C: 0.897 0.897 0.876
C: 0.419 0.419 0.758
C: 0.141 0.141 0.370

(13)
First-principles (PBE) data for crystalline CdC2 at its relaxed geometry, as listed in Alexandria via LeMat-Bulk.

Results
Relative energy among the computed polymorphs (meV/atom): 1049
Formation energy (eV/atom): 1.45
Magnetic moment (μB/f.u.): 0.00

a = 3.491 Å, b = 3.491 Å, c = 8.471 Å
α = 90.00°, β = 90.00°, γ = 120.00°
Sites, in units of the cell vectors:
Cd: 0.333 0.667 0.250
C: 0.000 0.000 0.426
C: 0.000 0.000 0.574
C: 0.000 0.000 0.926
Cd: 0.667 0.333 0.750
C: 0.000 0.000 0.074

(14)
First-principles (PBE) data for crystalline CdC3 at its relaxed geometry, as listed in Alexandria via LeMat-Bulk.

Results
Relative energy among the computed polymorphs (meV/atom): 900
Formation energy (eV/atom): 1.51
Magnetic moment (μB/f.u.): 0.00

a = 2.495 Å, b = 3.405 Å, c = 7.111 Å
α = 62.76°, β = 90.00°, γ = 90.00°
Sites, in units of the cell vectors:
C: 0.000 0.452 0.750
Cd: 0.500 0.250 0.250
C: 0.000 0.048 0.750
C: 0.500 0.750 0.750

(15)
First-principles (PBE) data for crystalline CdC2 at its relaxed geometry, as listed in Alexandria via LeMat-Bulk.

Results
Relative energy among the computed polymorphs (meV/atom): 0
Formation energy (eV/atom): 0.40
Magnetic moment (μB/f.u.): 0.00

a = 9.051 Å, b = 9.051 Å, c = 9.051 Å
α = 16.44°, β = 16.44°, γ = 16.44°
Sites, in units of the cell vectors:
C: 0.833 0.833 0.833
C: 0.167 0.167 0.167
Cd: 0.000 0.000 0.000

(16)
First-principles (PBE) data for crystalline CdC5 at its relaxed geometry, as listed in Alexandria via LeMat-Bulk.

Results
Relative energy among the computed polymorphs (meV/atom): 2442
Formation energy (eV/atom): 3.42
Magnetic moment (μB/f.u.): 0.26

a = 3.627 Å, b = 3.627 Å, c = 7.240 Å
α = 90.00°, β = 90.00°, γ = 120.00°
Sites, in units of the cell vectors:
C: 0.500 0.000 0.000
C: 0.000 0.500 0.000
C: 0.667 0.333 0.500
C: 0.333 0.667 0.500
Cd: 0.000 0.000 0.500
C: 0.500 0.500 0.000

(17)
First-principles (PBE) data for crystalline CdC at its relaxed geometry, as listed in Alexandria via LeMat-Bulk.

Results
Relative energy among the computed polymorphs (meV/atom): 253
Formation energy (eV/atom): 0.67
Magnetic moment (μB/f.u.): 0.00

a = 5.984 Å, b = 5.984 Å, c = 5.984 Å
α = 154.48°, β = 120.75°, γ = 65.56°
Sites, in units of the cell vectors:
C: 0.502 0.752 0.250
Cd: 0.161 0.911 0.750
Cd: 0.839 0.089 0.250
C: 0.498 0.248 0.750

(18)
First-principles (PBE) data for crystalline Cd3C at its relaxed geometry, as listed in Alexandria via LeMat-Bulk.

Results
Relative energy among the computed polymorphs (meV/atom): 645
Formation energy (eV/atom): 1.07
Magnetic moment (μB/f.u.): 0.00

a = 3.173 Å, b = 2.948 Å, c = 7.802 Å
α = 90.00°, β = 90.00°, γ = 90.00°
Sites, in units of the cell vectors:
Cd: 0.500 0.500 0.810
C: 0.000 0.000 0.000
Cd: 0.000 0.000 0.500
Cd: 0.500 0.500 0.190

(19)
First-principles (PBE) data for crystalline CdC3 at its relaxed geometry, as listed in Alexandria via LeMat-Bulk.

Results
Relative energy among the computed polymorphs (meV/atom): 2861
Formation energy (eV/atom): 3.47
Magnetic moment (μB/f.u.): 0.00

a = 5.484 Å, b = 5.484 Å, c = 5.484 Å
α = 147.75°, β = 147.75°, γ = 46.25°
Sites, in units of the cell vectors:
C: 0.250 0.750 0.500
C: 0.500 0.500 0.000
C: 0.750 0.250 0.500
Cd: 0.000 0.000 0.000

(20)
First-principles (PBE) data for crystalline CdC at its relaxed geometry, as listed in Alexandria via LeMat-Bulk.

Results
Relative energy among the computed polymorphs (meV/atom): 2102
Formation energy (eV/atom): 2.52
Magnetic moment (μB/f.u.): 0.00

a = 4.413 Å, b = 4.413 Å, c = 4.413 Å
α = 60.00°, β = 60.00°, γ = 60.00°
Sites, in units of the cell vectors:
C: 0.000 0.000 0.000
Cd: 0.500 0.500 0.500
Cd: 0.750 0.750 0.750
C: 0.250 0.250 0.250